(1)
Here is Li2Tl2S after structural relaxation from Alexandria via LeMat-Bulk. Energies are from GGA-PBE.

Output
SG: P4/mbm, No. 127
formation energy without anion corrections: -432.6 meV per atom

Cell lengths 6.576, 6.576, 5.377 Å; angles 90.00, 90.00, 90.00 degrees
Atoms (fractional coordinates):
1 Tl 0.331 0.169 0.500
2 S 0.000 0.000 0.000
3 Tl 0.669 0.831 0.500
4 Li 0.681 0.181 0.000
5 Li 0.819 0.681 0.000
6 Tl 0.169 0.669 0.500
7 Tl 0.831 0.331 0.500
8 Li 0.181 0.319 0.000
9 Li 0.319 0.819 0.000
10 S 0.500 0.500 0.000

(2)
Here is KCrAu after structural relaxation from Alexandria via LeMat-Bulk. Energies are from GGA-PBE.

Output
formation energy from the elements: 78 kJ/mol of formula units
SG: P-1, No. 2
excess energy over the best structure of this formula in the dataset: 0 meV/atom

Cell lengths 5.469, 4.864, 6.498 Å; angles 89.90, 105.88, 90.01 degrees
Each line ends with the local moment (μB).
Atoms (fractional coordinates):
1 Cr 0.095 0.945 0.796  3.74
2 K 0.218 0.444 0.342  0.00
3 Au 0.329 0.445 0.851  0.06
4 Cr 0.807 0.445 0.779  3.74
5 Au 0.573 0.945 0.724  0.06
6 K 0.685 0.945 0.233  0.00

(3)
Here is TlFe2BiCl8 after structural relaxation from Alexandria via LeMat-Bulk. Energies are from GGA-PBE.

Output
SG: R-3, No. 148
formation energy without anion corrections: -816.1 meV per atom

Cell lengths 6.515, 6.515, 10.355 Å; angles 71.66, 71.66, 60.00 degrees
Each line ends with the local moment (μB).
Atoms (fractional coordinates):
1 Cl 0.397 0.712 0.831  0.07
2 Cl 0.061 0.397 0.831  0.07
3 Tl 0.500 0.500 0.500  0.00
4 Cl 0.603 0.288 0.169  0.07
5 Cl 0.939 0.603 0.169  0.07
6 Fe 0.250 0.250 0.251  3.39
7 Fe 0.750 0.750 0.749  3.39
8 Bi 0.000 0.000 0.000  -0.03
9 Cl 0.712 0.061 0.831  0.07
10 Cl 0.827 0.827 0.519  0.12
11 Cl 0.173 0.173 0.481  0.12
12 Cl 0.288 0.939 0.169  0.07

(4)
Here is Co2MoAu after structural relaxation from Alexandria via LeMat-Bulk. Energies are from GGA-PBE.

Output
formation energy from the elements: 93 kJ/mol of formula units
SG: Fm-3m, No. 225

Cell lengths 4.250, 4.250, 4.250 Å; angles 60.00, 60.00, 60.00 degrees
Each line ends with the local moment (μB).
Atoms (fractional coordinates):
1 Co 0.250 0.250 0.250  0.75
2 Co 0.750 0.750 0.750  0.75
3 Au 0.500 0.500 0.500  -0.04
4 Mo 0.000 0.000 0.000  -0.06

Raw total energy per entry: -29.70; -26.39; -47.74; -27.36 eV/cell
Density per entry: 6.49; 5.75; 3.79; 12.57 g/cm³
Density of states at the Fermi level per entry: 2.1; 1.6; 11.1; 5.6 states/eV/f.u.